Here is a geometry-optimized Cr2Tc structure from Alexandria. Energies are from PBE.

The structure in POSCAR format:
```
Cr2Tc
1.0
-4.1784 1.4897 -1.7192
3.1730 -2.0413 -2.8980
-6.1826 -13.8748 3.0036
Cr Tc
16 8
direct
0.0000 0.5000 0.0000 Cr
0.3333 0.6667 0.6231 Cr
0.5000 0.0000 0.0000 Cr
0.5000 0.5000 0.0000 Cr
0.0000 0.5000 0.5000 Cr
0.5000 0.0000 0.5000 Cr
0.1637 0.8363 0.7500 Cr
0.1637 0.3273 0.7500 Cr
0.3273 0.1637 0.2500 Cr
0.8363 0.1637 0.2500 Cr
0.6667 0.3333 0.1231 Cr
0.3333 0.6667 0.8769 Cr
0.8363 0.6727 0.2500 Cr
0.6667 0.3333 0.3769 Cr
0.5000 0.5000 0.5000 Cr
0.6727 0.8363 0.7500 Cr
0.0000 0.0000 0.0956 Tc
0.6667 0.3333 0.8444 Tc
0.3333 0.6667 0.1556 Tc
0.0000 0.0000 0.9044 Tc
0.0000 0.0000 0.4044 Tc
0.0000 0.0000 0.5956 Tc
0.3333 0.6667 0.3444 Tc
0.6667 0.3333 0.6556 Tc
```

Computed properties:
volume: 304 Å³/cell
density of states at the Fermi level: 4.0 states/eV/f.u.
offset from the most stable computed form: 0.07 eV/f.u.
spin magnetization: 0.000 μB per cell
DFT total energy: -9.825 eV per atom
DFT formation energy: 0.046 eV per atom
space-group type: No. 194